# 1
# BaZr4F2, optimized geometry, DFT PBE-GGA
data_BaZr4F2
_chemical_formula_sum 'Ba2 Zr8 F4'
_cell_length_a 5.2986
_cell_length_b 5.2986
_cell_length_c 12.1217
_cell_angle_alpha 90.00
_cell_angle_beta 90.00
_cell_angle_gamma 90.00
_space_group_name_H-M_alt 'I 4/m m m'
_space_group_IT_number 139
_space_group_name_Hall '-I 4 2'
loop_
_atom_site_label
_atom_site_type_symbol
_atom_site_fract_x
_atom_site_fract_y
_atom_site_fract_z
_atom_site_occupancy
Ba1 Ba 0.0000 0.0000 0.0000 1
Zr1 Zr 0.0000 0.0000 0.2442 1
Zr2 Zr 0.0000 0.5000 0.0000 1
F1 F 0.0000 0.0000 0.4108 1
# ΔE_f (raw), eV per formula unit: 2.2

***

# 2
# MgTaAu, optimized geometry, DFT PBE-GGA
data_MgTaAu
_chemical_formula_sum 'Mg1 Ta1 Au1'
_cell_length_a 2.9656
_cell_length_b 2.9656
_cell_length_c 7.2953
_cell_angle_alpha 90.00
_cell_angle_beta 90.00
_cell_angle_gamma 120.00
_space_group_name_H-M_alt 'P 3 m 1'
_space_group_IT_number 156
loop_
_space_group_symop_operation_xyz
'x,y,z'
'-y,x-y,z'
'-x+y,-x,z'
'-y,-x,z'
'-x+y,y,z'
'x,x-y,z'
loop_
_atom_site_label
_atom_site_type_symbol
_atom_site_fract_x
_atom_site_fract_y
_atom_site_fract_z
_atom_site_occupancy
Mg1 Mg 0.0000 0.0000 0.0000 1
Ta1 Ta 0.6667 0.3333 0.3540 1
Au1 Au 0.3333 0.6667 0.6784 1
# Energy relative to the elements, eV per formula unit: 0.17
# Relative energy among the computed polymorphs, meV per atom: 254

***

Number 1: V 24.3 Å³ per atom, final energy -5.375 eV/atom, calculated density 5.27 g/cm³. Number 2: V 18.5 Å³ per atom, final energy -5.517 eV/atom, calculated density 12.02 g/cm³.